! GGA+U MgFe4NiO8, relaxed; values from VASP
! Calculated density ... 4.78 g/cm³
! Energy above the lowest structure with this stoichiometry ... 0.000 eV per atom
! Symmetry ... R3m, No. 160
&SYSTEM
  ibrav = 0, nat = 14, ntyp = 4
/
ATOMIC_SPECIES
O 16.00 O.upf
Fe 55.84 Fe.upf
Ni 58.69 Ni.upf
Mg 24.30 Mg.upf
CELL_PARAMETERS angstrom
5.974 0.004 0.003
2.975 5.180 0.003
2.975 1.723 4.885
ATOMIC_POSITIONS crystal
O 0.290 0.744 0.744
O 0.247 0.247 0.247
O 0.252 0.252 0.719
O 0.744 0.744 0.290
O 0.744 0.290 0.744
O 0.252 0.719 0.252
O 0.749 0.749 0.749
O 0.719 0.252 0.252
Fe 0.504 0.504 0.993
Fe 0.118 0.118 0.118
Fe 0.504 0.993 0.504
Fe 0.993 0.504 0.504
Ni 0.501 0.501 0.501
Mg 0.882 0.882 0.882